# RuSeIN2 | Alexandria | PBE | relaxed
# * formation energy (no corrections): 0.954 eV/atom
# * excess energy over the best structure of this formula in the dataset: 0 meV/atom
# * N(E_F): 3.76 states/eV/cell
data_RuSeIN2
_chemical_formula_sum 'Ru1 Se1 I1 N2'
_space_group_name_H-M_alt 'P 4/m m m'
_space_group_IT_number 123
_space_group_name_Hall '-P 4 2'
_cell_length_a 3.916
_cell_length_b 3.916
_cell_length_c 5.603
_cell_angle_alpha 90.00
_cell_angle_beta 90.00
_cell_angle_gamma 90.00
loop_
_atom_site_label
_atom_site_fract_x
_atom_site_fract_y
_atom_site_fract_z
_atom_site_occupancy
Ru1 0.000 0.000 0.000 1
Se1 0.000 0.000 0.500 1
I1 0.500 0.500 0.500 1
N1 0.000 0.500 0.000 1

***

# MgFe2As | Alexandria | PBE | relaxed
# * DFT formation energy: 0.129 eV per atom
# * N(E_F): 14.77 states/eV/cell
data_MgFe2As
_chemical_formula_sum 'Mg4 Fe8 As4'
_space_group_name_H-M_alt 'F m -3 m'
_space_group_IT_number 225
_space_group_name_Hall '-F 4 2 3'
_cell_length_a 5.804
_cell_length_b 5.804
_cell_length_c 5.804
_cell_angle_alpha 90.00
_cell_angle_beta 90.00
_cell_angle_gamma 90.00
loop_
_atom_site_label
_atom_site_fract_x
_atom_site_fract_y
_atom_site_fract_z
_atom_site_occupancy
Mg1 0.000 0.000 0.000 1
Fe1 0.250 0.250 0.250 1
As1 0.000 0.000 0.500 1

***

Please write out number 1 again, unchanged.
# RuSeIN2 | Alexandria | PBE | relaxed
# * formation energy (no corrections): 0.954 eV/atom
# * excess energy over the best structure of this formula in the dataset: 0 meV/atom
# * N(E_F): 3.76 states/eV/cell
data_RuSeIN2
_chemical_formula_sum 'Ru1 Se1 I1 N2'
_space_group_name_H-M_alt 'P 4/m m m'
_space_group_IT_number 123
_space_group_name_Hall '-P 4 2'
_cell_length_a 3.916
_cell_length_b 3.916
_cell_length_c 5.603
_cell_angle_alpha 90.00
_cell_angle_beta 90.00
_cell_angle_gamma 90.00
loop_
_atom_site_label
_atom_site_fract_x
_atom_site_fract_y
_atom_site_fract_z
_atom_site_occupancy
Ru1 0.000 0.000 0.000 1
Se1 0.000 0.000 0.500 1
I1 0.500 0.500 0.500 1
N1 0.000 0.500 0.000 1